VASP calculation (PBE-GGA) on a relaxed structure of TcRh2PbI.

Lattice parameters (Å, degrees): 4.8859 5.0140 4.8859 90.00 90.00 90.00
With the nearest neighbours (Å) after each atom.
Element x y z (fractional)
Rh: 0.5000 0.0000 0.0000  2 I 2.44
Rh: 0.0000 0.0000 0.5000  2 I 2.44
I: 0.0000 0.0000 0.0000  4 Rh 2.44, 2 Tc 2.51
Pb: 0.5000 0.5000 0.5000  4 Tc 3.45, 8 Rh 3.50
Tc: 0.0000 0.5000 0.0000  2 I 2.51

Values from the calculation:
As for the crystal system: tetragonal. The density of states at the Fermi level comes out at 1.28 states/eV per atom. For the uncorrected formation energy, the calculation gives 1.16 eV per atom.

***

VASP calculation (PBE-GGA) on a relaxed structure of BaAcPdI.

Lattice parameters (Å, degrees): 4.5091 4.5094 9.2716 90.00 104.07 120.00
With the nearest neighbours (Å) after each atom.
Element x y z (fractional)
I: 0.9612 0.3789 0.3547  3 Ac 3.70, 3 Ba 3.81
Ac: 0.0969 0.9463 0.0587  3 Pd 3.01
Pd: 0.3166 0.5561 0.8883  3 Ac 3.01, 3 Ba 3.26
Ba: 0.5032 0.1494 0.6679  3 Pd 3.26

Values from the calculation:
As for the crystal system: trigonal. The density of states at the Fermi level comes out at 0.05 states/eV per atom. For the uncorrected formation energy, the calculation gives -0.99 eV per atom.